# 1
Below is a relaxed structure of Dy2Y3Se6, with properties calculated at the PBE level.

Computed properties:
VASP energy   -6.29 eV per atom
Energy relative to the elements, uncorrected   -19.6 eV/f.u.
Space-group type   R-3m (166)
D(E_F)   4.75 states/eV/f.u.
Energy above the lowest structure with this stoichiometry   86.7 meV/atom
Spin magnetization   0.00 μB/cell

```
11
Lattice="-1.470 -3.414 1.766 2.107 -1.820 3.030 -9.586 9.491 15.160" Properties=species:S:1:pos:R:3 pbc="T T T"
Y -1.371 0.071 3.790
Se -5.150 1.403 12.806
Dy -2.905 0.330 7.807
Se -8.572 6.828 15.650
Se -0.376 -2.570 4.306
Y 0.000 0.000 0.000
Se -7.162 6.712 11.806
Se -1.786 -2.454 8.150
Dy -6.043 3.928 12.150
Y -7.578 4.187 16.166
Se -3.798 2.855 7.150
```

# 2
Below is a relaxed structure of DyYSe2, with properties calculated at the PBE level.

Computed properties:
VASP energy   -6.26 eV per atom
Energy relative to the elements, uncorrected   -7.0 eV/f.u.
Space-group type   P6_3/mmc (194)
D(E_F)   1.67 states/eV/f.u.
Energy above the lowest structure with this stoichiometry   8.5 meV/atom
Spin magnetization   0.00 μB/cell

```
8
Lattice="-3.473 0.654 1.884 3.238 -1.086 2.091 3.416 13.371 1.656" Properties=species:S:1:pos:R:3 pbc="T T T"
Se 0.893 8.406 2.984
Dy -0.382 3.417 2.366
Se 1.422 1.141 2.225
Se 2.289 4.533 2.646
Y 0.000 0.000 0.000
Se 1.760 11.799 3.404
Y 1.708 6.686 0.828
Dy 3.563 9.523 3.263
```

# 3
Below is a relaxed structure of DyYSe3, with properties calculated at the PBE level.

Computed properties:
VASP energy   -6.16 eV per atom
Energy relative to the elements, uncorrected   -9.3 eV/f.u.
Space-group type   R-3 (148)
D(E_F)   0.00 states/eV/f.u.
Energy above the lowest structure with this stoichiometry   0.0 meV/atom
Spin magnetization   0.00 μB/cell

```
10
Lattice="6.392 0.000 3.325 2.331 5.951 3.325 0.050 0.034 7.710" Properties=species:S:1:pos:R:3 pbc="T T T"
Se 2.908 3.311 4.603
Y 7.419 5.062 9.156
Se 2.137 4.486 8.460
Dy 3.082 2.103 9.687
Se 5.865 2.675 9.756
Se 3.011 0.354 7.448
Dy 5.691 3.883 4.672
Y 1.354 0.924 5.203
Se 6.636 1.500 5.900
Se 5.762 5.632 6.911
```

# 4
Below is a relaxed structure of DyY2Se, with properties calculated at the PBE level.

Computed properties:
VASP energy   -5.81 eV per atom
Energy relative to the elements, uncorrected   -2.2 eV/f.u.
Space-group type   R-3m (166)
D(E_F)   5.16 states/eV/f.u.
Energy above the lowest structure with this stoichiometry   269.6 meV/atom
Spin magnetization   0.50 μB/cell

```
4
Lattice="-3.268 1.774 0.190 -2.652 -1.226 2.308 1.736 6.218 8.303" Properties=species:S:1:pos:R:3 pbc="T T T"
Y 0.530 4.255 5.873
Y -4.714 2.511 4.927
Se -2.092 3.383 5.400
Dy 0.000 0.000 0.000
```

# 5
Below is a relaxed structure of Dy5Y3Se8, with properties calculated at the PBE level.

Computed properties:
VASP energy   -6.14 eV per atom
Energy relative to the elements, uncorrected   -28.0 eV/f.u.
Space-group type   R-3m (166)
D(E_F)   10.71 states/eV/f.u.
Spin magnetization   0.00 μB/cell

```
16
Lattice="-0.739 -7.099 3.948 4.656 -6.351 -2.123 5.954 -2.537 4.979" Properties=species:S:1:pos:R:3 pbc="T T T"
Y 5.305 -4.444 1.428
Se 5.080 -8.811 6.165
Dy 4.935 -7.993 3.402
Y 2.977 -1.268 2.489
Se 4.421 -10.719 2.609
Dy 2.328 -3.176 -1.062
Se 2.097 -7.549 3.669
Se 7.773 -8.438 3.134
Se 7.408 -11.987 5.108
Dy 1.958 -6.725 0.912
Se 2.462 -3.999 1.695
Se 5.449 -5.267 4.194
Se 4.790 -7.176 0.638
Y 2.607 -4.818 4.463
Dy 0.000 0.000 0.000
Dy -0.370 -3.549 1.974
```

# 6
Below is a relaxed structure of Dy2Y2Se3, with properties calculated at the PBE level.

Computed properties:
VASP energy   -6.08 eV per atom
Energy relative to the elements, uncorrected   -10.0 eV/f.u.
Space-group type   C2/m (12)
D(E_F)   6.04 states/eV/f.u.
Spin magnetization   0.00 μB/cell

```
7
Lattice="3.841 0.000 -1.032 -0.137 6.186 -0.510 0.042 0.204 7.825" Properties=species:S:1:pos:R:3 pbc="T T T"
Se 3.047 1.711 3.679
Se 0.700 4.679 2.604
Dy 2.074 4.534 0.053
Y 0.585 1.756 2.178
Dy 1.673 1.855 6.230
Se 0.000 0.000 0.000
Y 3.162 4.634 4.105
```

# 7
Below is a relaxed structure of DyYSe3, with properties calculated at the PBE level.

Computed properties:
VASP energy   -6.14 eV per atom
Energy relative to the elements, uncorrected   -9.2 eV/f.u.
Space-group type   P2_1/m (11)
Energy above the lowest structure with this stoichiometry   19.3 meV/atom
Spin magnetization   0.00 μB/cell

```
10
Lattice="-3.052 1.149 2.392 -3.573 -7.152 -1.124 4.233 -2.395 6.550" Properties=species:S:1:pos:R:3 pbc="T T T"
Dy -1.231 -5.379 6.140
Se -1.067 -7.707 4.050
Se -1.325 -0.692 3.769
Dy -1.161 -3.020 1.679
Y -2.479 -6.600 1.716
Se -3.116 -4.607 -0.053
Se 0.468 -3.892 4.175
Se 0.724 -3.792 7.872
Se -2.860 -4.507 3.643
Y 0.088 -1.799 6.103
```

# 8
Below is a relaxed structure of DyY3Se4, with properties calculated at the PBE level.

Computed properties:
VASP energy   -6.50 eV per atom
Energy relative to the elements, uncorrected   -14.1 eV/f.u.
Space-group type   P2/c (13)
D(E_F)   3.72 states/eV/f.u.
Energy above the lowest structure with this stoichiometry   0.0 meV/atom
Spin magnetization   0.00 μB/cell

```
16
Lattice="7.099 0.073 0.000 -2.419 6.677 0.000 0.000 0.000 8.093" Properties=species:S:1:pos:R:3 pbc="T T T"
Se -0.602 1.665 1.007
Se -1.812 5.010 3.033
Se 2.947 1.701 7.086
Se 5.283 5.086 7.086
Dy 1.775 0.018 1.013
Y 5.324 0.055 3.033
Se 2.943 1.703 3.033
Se 6.492 1.740 5.060
Y 4.115 3.394 1.014
Dy 5.324 0.055 7.080
Se 1.733 5.049 1.007
Y 4.115 3.394 5.059
Y 0.565 3.357 3.034
Se 1.737 5.047 5.060
Y 0.565 3.357 7.079
Y 1.775 0.018 5.060
```

# 9
Below is a relaxed structure of Dy6Y2Se3, with properties calculated at the PBE level.

Computed properties:
VASP energy   -5.52 eV per atom
Energy relative to the elements, uncorrected   -9.8 eV/f.u.
Space-group type   R-3m (166)
D(E_F)   11.24 states/eV/f.u.
Spin magnetization   0.01 μB/cell

```
11
Lattice="-3.287 0.534 1.832 -1.598 -2.870 1.911 11.009 5.972 21.949" Properties=species:S:1:pos:R:3 pbc="T T T"
Se 0.000 0.000 0.000
Dy 8.234 4.489 17.403
Dy -2.109 -0.854 8.290
Se 5.924 3.437 21.449
Y 0.937 0.682 9.364
Se 0.201 0.198 4.244
Dy 8.456 4.698 21.680
Dy 2.131 1.411 15.235
Dy 3.994 2.225 10.458
Y 5.188 2.953 16.328
Dy -2.330 -1.063 4.012
```

# 10
Below is a relaxed structure of Dy2YSe, with properties calculated at the PBE level.

Computed properties:
VASP energy   -5.34 eV per atom
Energy relative to the elements, uncorrected   -2.2 eV/f.u.
Space-group type   R-3m (166)
D(E_F)   4.31 states/eV/f.u.
Energy above the lowest structure with this stoichiometry   269.5 meV/atom
Spin magnetization   0.65 μB/cell

```
4
Lattice="-3.052 1.521 -1.455 -3.183 -1.901 -0.035 -4.527 3.803 8.748" Properties=species:S:1:pos:R:3 pbc="T T T"
Dy -7.033 0.899 1.518
Dy -3.731 2.524 5.740
Se -5.382 1.711 3.629
Y 0.000 0.000 0.000
```

# 11
Below is a relaxed structure of DyY2Se, with properties calculated at the PBE level.

Computed properties:
VASP energy   -6.08 eV per atom
Energy relative to the elements, uncorrected   -3.3 eV/f.u.
Space-group type   R3m (160)
D(E_F)   3.67 states/eV/f.u.
Energy above the lowest structure with this stoichiometry   0.0 meV/atom
Spin magnetization   0.45 μB/cell

```
4
Lattice="-0.061 2.241 3.070 -3.116 0.165 2.171 2.207 -6.266 6.972" Properties=species:S:1:pos:R:3 pbc="T T T"
Y 1.561 -4.868 5.938
Y -0.417 -0.588 2.775
Dy -0.481 -1.939 6.113
Se 0.089 -4.661 10.466
```

# 12
Below is a relaxed structure of Dy6YSe8, with properties calculated at the PBE level.

Computed properties:
VASP energy   -5.60 eV per atom
Energy relative to the elements, uncorrected   -22.0 eV/f.u.
Space-group type   R-3 (148)
D(E_F)   8.65 states/eV/f.u.
Energy above the lowest structure with this stoichiometry   367.9 meV/atom
Spin magnetization   0.00 μB/cell

```
15
Lattice="8.057 -0.336 -0.347 -0.587 8.043 -0.347 -0.587 -0.605 8.028" Properties=species:S:1:pos:R:3 pbc="T T T"
Se 0.552 5.156 2.966
Se 4.104 6.463 2.086
Dy 4.161 1.130 2.741
Se 1.748 4.160 6.527
Se 5.339 5.508 5.688
Se 2.780 0.639 5.249
Dy 2.723 5.972 4.594
Dy 5.884 4.498 3.054
Se 6.332 1.946 4.368
Dy 1.000 2.604 4.280
Se 1.545 1.594 1.647
Y 0.000 0.000 0.000
Dy 2.572 4.243 1.218
Dy 4.312 2.859 6.117
Se 5.137 2.942 0.808
```

# 13
Below is a relaxed structure of DyY3Se4, with properties calculated at the PBE level.

Computed properties:
VASP energy   -6.49 eV per atom
Energy relative to the elements, uncorrected   -14.0 eV/f.u.
Space-group type   Pm-3m (221)
D(E_F)   5.14 states/eV/f.u.
Energy above the lowest structure with this stoichiometry   11.6 meV/atom
Spin magnetization   0.00 μB/cell

```
8
Lattice="5.777 0.000 0.000 0.000 5.777 0.000 0.000 0.000 5.777" Properties=species:S:1:pos:R:3 pbc="T T T"
Se 0.000 0.000 2.888
Se 2.888 2.888 2.888
Dy 0.000 0.000 0.000
Y 2.888 0.000 2.888
Se 0.000 2.888 0.000
Y 2.888 2.888 0.000
Se 2.888 0.000 0.000
Y 0.000 2.888 2.888
```

# 14
Below is a relaxed structure of Dy2YSe3, with properties calculated at the PBE level.

Computed properties:
VASP energy   -6.11 eV per atom
Energy relative to the elements, uncorrected   -10.5 eV/f.u.
Space-group type   Immm (71)
D(E_F)   2.59 states/eV/f.u.
Spin magnetization   0.00 μB/cell

```
6
Lattice="4.097 0.000 0.000 0.000 5.751 0.000 -2.049 -2.875 6.106" Properties=species:S:1:pos:R:3 pbc="T T T"
Se 1.024 -1.438 3.053
Dy -1.024 -1.438 5.078
Se -1.024 1.438 5.099
Dy 3.073 4.313 1.028
Y 1.024 1.438 3.053
Se 3.073 1.438 1.007
```

# 15
Below is a relaxed structure of Dy2Y6Se3, with properties calculated at the PBE level.

Computed properties:
VASP energy   -6.21 eV per atom
Energy relative to the elements, uncorrected   -9.8 eV/f.u.
Space-group type   R-3m (166)
D(E_F)   11.78 states/eV/f.u.
Spin magnetization   0.09 μB/cell

```
11
Lattice="3.792 0.000 0.376 1.877 3.295 0.376 -0.589 -0.343 25.259" Properties=species:S:1:pos:R:3 pbc="T T T"
Y -0.045 -0.026 19.768
Dy 2.958 1.719 8.791
Y 4.292 2.494 14.650
Y 0.788 0.458 11.361
Dy 2.122 1.233 17.220
Y 5.125 2.979 6.243
Y 3.598 2.091 2.333
Se 3.549 2.063 22.140
Se 1.531 0.890 3.871
Y 1.482 0.861 23.678
Se 0.000 0.000 0.000
```

# 16
Below is a relaxed structure of DyYSe2, with properties calculated at the PBE level.

Computed properties:
VASP energy   -6.27 eV per atom
Energy relative to the elements, uncorrected   -7.0 eV/f.u.
Space-group type   C2/m (12)
D(E_F)   1.93 states/eV/f.u.
Energy above the lowest structure with this stoichiometry   0.0 meV/atom
Spin magnetization   0.00 μB/cell

```
4
Lattice="4.086 0.004 0.021 2.025 3.550 0.021 2.026 1.178 6.642" Properties=species:S:1:pos:R:3 pbc="T T T"
Dy 4.069 2.366 3.342
Se 2.034 1.183 1.679
Y 0.000 0.000 0.000
Se 6.103 3.549 5.004
```

# 17
Below is a relaxed structure of Dy4YSe6, with properties calculated at the PBE level.

Computed properties:
VASP energy   -5.98 eV per atom
Energy relative to the elements, uncorrected   -20.0 eV/f.u.
Space-group type   Cmcm (63)
D(E_F)   2.93 states/eV/f.u.
Spin magnetization   0.00 μB/cell

```
22
Lattice="-1.340 2.175 -3.059 -0.423 -6.687 -1.972 -19.253 -1.049 7.686" Properties=species:S:1:pos:R:3 pbc="T T T"
Se -14.480 -4.619 0.463
Dy -19.970 -3.946 3.345
Dy -1.045 -1.615 -0.690
Se -17.693 -4.794 1.745
Dy -3.343 -4.731 -1.899
Dy -11.820 -3.502 0.091
Se -15.527 -1.836 2.899
Se -9.142 -2.357 -0.267
Se -3.001 -2.022 -2.719
Se -10.296 0.563 2.313
Dy -8.078 -4.989 -0.008
Dy -17.673 -0.830 4.553
Se -18.015 -3.539 5.374
Y -15.199 -4.678 3.331
Se -5.489 -3.725 -0.244
Se -6.535 -0.943 2.192
Dy -9.196 -2.059 2.563
Dy -12.938 -0.572 2.663
Se -0.670 1.087 -1.530
Y -5.817 -0.883 -0.676
Se -11.874 -3.204 2.922
Se -3.323 -0.768 0.909
```

# 18
Below is a relaxed structure of DyYSe2, with properties calculated at the PBE level.

Computed properties:
VASP energy   -6.26 eV per atom
Energy relative to the elements, uncorrected   -7.0 eV/f.u.
Space-group type   R3m (160)
D(E_F)   1.02 states/eV/f.u.
Energy above the lowest structure with this stoichiometry   4.7 meV/atom
Spin magnetization   0.00 μB/cell

```
4
Lattice="3.972 0.000 0.000 1.986 3.440 0.000 1.986 1.147 7.110" Properties=species:S:1:pos:R:3 pbc="T T T"
Dy 3.972 2.293 3.662
Y 5.958 3.440 6.999
Se 1.986 1.147 5.358
Se 1.986 1.147 1.756
```

# 19
Below is a relaxed structure of Dy2Y3Se6, with properties calculated at the PBE level.

Computed properties:
VASP energy   -6.37 eV per atom
Energy relative to the elements, uncorrected   -20.6 eV/f.u.
Space-group type   C2/m (12)
D(E_F)   4.49 states/eV/f.u.
Energy above the lowest structure with this stoichiometry   0.0 meV/atom
Spin magnetization   0.00 μB/cell

```
11
Lattice="-0.469 3.574 -6.062 -6.302 1.533 -2.712 -0.217 6.890 1.351" Properties=species:S:1:pos:R:3 pbc="T T T"
Dy -4.407 5.062 -2.142
Se -4.585 7.666 -3.345
Y -4.532 3.404 -5.849
Y -2.239 1.703 -2.926
Se -0.511 7.789 -3.519
Y 0.000 0.000 0.000
Se -2.403 4.331 -4.079
Se -0.175 2.675 -1.192
Se -2.279 5.966 -0.423
Se -4.709 6.032 -7.001
Dy -2.581 6.935 -5.281
```

# 20
Below is a relaxed structure of Dy3Y2Se4, with properties calculated at the PBE level.

Computed properties:
VASP energy   -6.06 eV per atom
Energy relative to the elements, uncorrected   -13.9 eV/f.u.
Space-group type   P-3m1 (164)
D(E_F)   6.12 states/eV/f.u.
Spin magnetization   0.00 μB/cell

```
9
Lattice="3.982 0.000 0.002 -1.991 3.449 -0.002 -0.009 0.005 16.723" Properties=species:S:1:pos:R:3 pbc="T T T"
Se 1.989 1.151 1.732
Dy -0.004 2.301 9.753
Y -0.003 2.301 3.481
Dy 0.000 0.000 0.000
Dy 1.986 1.152 6.970
Se 3.978 0.002 5.194
Se -1.996 3.451 11.529
Se -0.007 2.303 14.990
Y 1.986 1.153 13.241
```

# 21
Below is a relaxed structure of Dy2YSe, with properties calculated at the PBE level.

Computed properties:
VASP energy   -5.61 eV per atom
Energy relative to the elements, uncorrected   -3.3 eV/f.u.
Space-group type   R3m (160)
D(E_F)   3.85 states/eV/f.u.
Energy above the lowest structure with this stoichiometry   0.0 meV/atom
Spin magnetization   0.42 μB/cell

```
4
Lattice="3.799 0.000 0.000 1.899 3.290 0.000 1.899 1.097 9.398" Properties=species:S:1:pos:R:3 pbc="T T T"
Y 3.799 2.193 4.711
Dy 1.899 1.097 7.546
Se 5.698 3.290 9.395
Dy 1.899 1.097 1.842
```

# 22
Below is a relaxed structure of DyY5Se6, with properties calculated at the PBE level.

Computed properties:
VASP energy   -6.58 eV per atom
Energy relative to the elements, uncorrected   -21.2 eV/f.u.
Space-group type   C2/m (12)
D(E_F)   5.07 states/eV/f.u.
Spin magnetization   0.00 μB/cell

```
12
Lattice="6.978 0.180 1.066 1.724 5.928 3.457 0.119 0.055 7.087" Properties=species:S:1:pos:R:3 pbc="T T T"
Y 1.229 3.989 7.028
Y 0.614 1.993 3.516
Y 4.351 3.054 2.261
Se 6.528 4.586 3.394
Y 3.857 1.119 5.826
Dy 0.000 0.000 0.000
Se 5.421 0.647 3.443
Y 4.964 5.044 5.784
Se 6.034 2.636 6.968
Se 3.400 5.516 8.166
Se 2.174 1.522 1.128
Se 2.787 3.527 4.642
```

# 23
Below is a relaxed structure of Dy2Zn2Se, with properties calculated at the PBE level.

Computed properties:
VASP energy   -3.95 eV per atom
Energy relative to the elements, uncorrected   -4.5 eV/f.u.
Space-group type   C2/m (12)
D(E_F)   4.56 states/eV/f.u.
Spin magnetization   0.00 μB/cell

```
5
Lattice="3.917 0.005 -1.288 -2.154 3.516 -0.029 0.397 0.304 7.889" Properties=species:S:1:pos:R:3 pbc="T T T"
Se 0.000 0.000 0.000
Dy -0.249 2.317 5.862
Zn 0.976 3.056 2.931
Dy 2.409 1.508 0.710
Zn 1.183 0.770 3.641
```